Entry 1:
Nb2PtO | PBE-GGA | optimized geometry

```
data_Nb2PtO
_cell_length_a 4.942
_cell_length_b 4.942
_cell_length_c 11.834
_cell_angle_alpha 90.00
_cell_angle_beta 90.00
_cell_angle_gamma 90.00
_symmetry_space_group_name_H-M 'I -4 2 d'
_symmetry_Int_Tables_number 122
_symmetry_space_group_name_Hall 'I -4 2bw'
loop_
_atom_site_label
_atom_site_type_symbol
_atom_site_fract_x
_atom_site_fract_y
_atom_site_fract_z
Nb1 Nb 0.156 0.250 0.125
Pt1 Pt 0.000 0.000 0.500
O1 O 0.000 0.000 0.000
```

Output
formation energy (no corrections) = -0.7232 eV/atom
DOS(E_F) = 7.39 states/eV per cell
calculated volume = 18.06 A^3/atom

***

Entry 2:
NbPt2O | PBE-GGA | optimized geometry

```
data_NbPt2O
_cell_length_a 5.961
_cell_length_b 5.961
_cell_length_c 7.992
_cell_angle_alpha 90.00
_cell_angle_beta 90.00
_cell_angle_gamma 90.00
_symmetry_space_group_name_H-M 'I -4 2 d'
_symmetry_Int_Tables_number 122
_symmetry_space_group_name_Hall 'I -4 2bw'
loop_
_atom_site_label
_atom_site_type_symbol
_atom_site_fract_x
_atom_site_fract_y
_atom_site_fract_z
Nb1 Nb 0.000 0.000 0.000
Pt1 Pt 0.208 0.750 0.625
O1 O 0.000 0.000 0.500
```

Output
formation energy (no corrections) = 0.1013 eV/atom
DOS(E_F) = 12.22 states/eV per cell
calculated volume = 17.75 A^3/atom

***

Entry 3:
NbPtO2 | PBE-GGA | optimized geometry

```
data_NbPtO2
_cell_length_a 3.4298
_cell_length_b 3.4298
_cell_length_c 16.9053
_cell_angle_alpha 90.00
_cell_angle_beta 90.00
_cell_angle_gamma 120.00
_symmetry_space_group_name_H-M 'R -3 m'
_symmetry_Int_Tables_number 166
_symmetry_space_group_name_Hall '-R 3 2"'
loop_
_atom_site_label
_atom_site_type_symbol
_atom_site_fract_x
_atom_site_fract_y
_atom_site_fract_z
Nb1 Nb 0.0000 0.0000 0.0000
Pt1 Pt 0.0000 0.0000 0.5000
O1 O 0.0000 0.0000 0.1179
```

Output
formation energy (no corrections) = -0.2801 eV/atom
energy above the lowest structure with this stoichiometry = 1123.0 meV per atom
DOS(E_F) = 9.48 states/eV per cell
calculated volume = 14.35 A^3/atom

***

Entry 4:
Nb5Pt3O | PBE-GGA | optimized geometry

```
data_Nb5Pt3O
_cell_length_a 8.0468
_cell_length_b 8.0468
_cell_length_c 5.0962
_cell_angle_alpha 90.00
_cell_angle_beta 90.00
_cell_angle_gamma 120.00
_symmetry_space_group_name_H-M 'P 63/m c m'
_symmetry_Int_Tables_number 193
_symmetry_space_group_name_Hall '-P 6c 2'
loop_
_atom_site_label
_atom_site_type_symbol
_atom_site_fract_x
_atom_site_fract_y
_atom_site_fract_z
Nb1 Nb 0.0000 0.2383 0.2500
Nb2 Nb 0.3333 0.6667 0.0000
Pt1 Pt 0.0000 0.4036 0.7500
O1 O 0.0000 0.0000 0.0000
```

Output
formation energy (no corrections) = -0.8547 eV/atom
DOS(E_F) = 16.96 states/eV per cell
calculated volume = 15.88 A^3/atom

***

- Among the records above, which one has the lowest calculated volume?
  NbPtO2